## LaNd2GaO (GGA-PBE)

Data for a relaxed LaNd2GaO crystal.

E_form (uncorrected) = -1.37 eV per atom
Total energy = -5.861 eV/atom
Size of the total moment = 0.00 μB/cell

a = 4.938 Å, b = 4.938 Å, c = 4.968 Å
α = 90.00°, β = 90.00°, γ = 90.00°
Space group P4/mmm (No. 123)
Symmetry-distinct sites (fractional):
1 La 0.000 0.000 0.000
2 Nd 0.000 0.500 0.500
3 Ga 0.500 0.500 0.000
4 O 0.000 0.000 0.500